Record 1
Computed, not measured: a geometry-optimized PmHoGe2 structure at the PBE-GGA level of DFT.

Computed properties:
total energy: -5.50 eV per atom
spin magnetization: 0.00 μB/cell
symmetry: No. 38
formation energy from the elements: -855 meV/atom

a = 4.351 Å, b = 4.009 Å, c = 5.848 Å
α = 90.00°, β = 111.85°, γ = 90.00°
Element x y z (fractional)
1 Pm 0.721 0.000 0.982
2 Ho 0.446 0.500 0.430
3 Ge 0.166 0.500 0.871
4 Ge 0.998 0.000 0.535

---

Record 2
Computed, not measured: a geometry-optimized PmHoGe structure at the PBE-GGA level of DFT.

Computed properties:
distance to the lowest polymorph of the same formula: 0.123 eV per atom
total energy: -5.06 eV per atom
spin magnetization: 0.00 μB/cell
symmetry: No. 156
formation energy from the elements: -408 meV/atom

a = 4.256 Å, b = 4.742 Å, c = 4.742 Å
α = 120.00°, β = 90.00°, γ = 90.00°
Element x y z (fractional)
1 Ge 0.408 0.667 0.333
2 Ho 0.558 0.333 0.667
3 Pm 0.034 0.000 0.000